# YCrSi2 PBE relaxed
data_YCrSi2
_chemical_formula_sum 'Y1 Cr1 Si2'
_symmetry_space_group_name_H-M 'P 1'
_symmetry_Int_Tables_number 1
_cell_length_a 5.503
_cell_length_b 5.503
_cell_length_c 5.503
_cell_angle_alpha 43.17
_cell_angle_beta 43.17
_cell_angle_gamma 43.17
loop_
_symmetry_equiv_pos_as_xyz
'x,y,z'
loop_
_atom_site_label
_atom_site_fract_x
_atom_site_fract_y
_atom_site_fract_z
Si1 0.466 0.466 0.466
Si2 0.034 0.034 0.034
Cr1 0.750 0.750 0.750
Y1 0.250 0.250 0.250
# crystal system = trigonal
# ΔE_f (raw) = -0.409 eV/atom
# symmetry = No. 166
# calculated volume = 17.7 A^3/atom
# mass density = 4.63 Mg/m³

# YCrSi3 PBE relaxed
data_YCrSi3
_chemical_formula_sum 'Y1 Cr1 Si3'
_symmetry_space_group_name_H-M 'P 1'
_symmetry_Int_Tables_number 1
_cell_length_a 5.226
_cell_length_b 5.226
_cell_length_c 5.226
_cell_angle_alpha 90.00
_cell_angle_beta 90.00
_cell_angle_gamma 90.00
loop_
_symmetry_equiv_pos_as_xyz
'x,y,z'
loop_
_atom_site_label
_atom_site_fract_x
_atom_site_fract_y
_atom_site_fract_z
Y1 0.000 0.000 0.000
Si1 0.000 0.500 0.000
Si2 0.000 0.000 0.500
Si3 0.500 0.000 0.000
Cr1 0.500 0.500 0.500
# crystal system = cubic
# ΔE_f (raw) = 1.399 eV/atom
# symmetry = No. 221
# calculated volume = 28.5 A^3/atom
# mass density = 2.62 Mg/m³

# Y4CrSi PBE relaxed
data_Y4CrSi
_chemical_formula_sum 'Y4 Cr1 Si1'
_symmetry_space_group_name_H-M 'P 1'
_symmetry_Int_Tables_number 1
_cell_length_a 6.181
_cell_length_b 6.181
_cell_length_c 6.181
_cell_angle_alpha 60.00
_cell_angle_beta 60.00
_cell_angle_gamma 60.00
loop_
_symmetry_equiv_pos_as_xyz
'x,y,z'
loop_
_atom_site_label
_atom_site_fract_x
_atom_site_fract_y
_atom_site_fract_z
Cr1 0.750 0.750 0.750
Y1 0.375 0.876 0.375
Y2 0.876 0.375 0.375
Y3 0.375 0.375 0.375
Y4 0.375 0.375 0.876
Si1 0.000 0.000 0.000
# crystal system = cubic
# ΔE_f (raw) = 0.744 eV/atom
# symmetry = No. 216
# calculated volume = 27.8 A^3/atom
# mass density = 4.33 Mg/m³

# YCr2Si2 PBE relaxed
data_YCr2Si2
_chemical_formula_sum 'Y1 Cr2 Si2'
_symmetry_space_group_name_H-M 'P 1'
_symmetry_Int_Tables_number 1
_cell_length_a 4.346
_cell_length_b 4.346
_cell_length_c 5.303
_cell_angle_alpha 65.81
_cell_angle_beta 65.81
_cell_angle_gamma 90.00
loop_
_symmetry_equiv_pos_as_xyz
'x,y,z'
loop_
_atom_site_label
_atom_site_fract_x
_atom_site_fract_y
_atom_site_fract_z
Y1 0.000 0.000 0.000
Cr1 0.388 0.388 0.225
Cr2 0.612 0.612 0.775
Si1 0.750 0.250 0.500
Si2 0.250 0.750 0.500
# crystal system = tetragonal
# ΔE_f (raw) = -0.172 eV/atom
# symmetry = No. 139
# calculated volume = 16.3 A^3/atom
# mass density = 5.07 Mg/m³
# excess energy over the best structure of this formula in the dataset = 265 meV per atom

# YCrSi2 PBE relaxed
data_YCrSi2
_chemical_formula_sum 'Y1 Cr1 Si2'
_symmetry_space_group_name_H-M 'P 1'
_symmetry_Int_Tables_number 1
_cell_length_a 4.854
_cell_length_b 4.854
_cell_length_c 4.854
_cell_angle_alpha 126.84
_cell_angle_beta 126.84
_cell_angle_gamma 78.52
loop_
_symmetry_equiv_pos_as_xyz
'x,y,z'
loop_
_atom_site_label
_atom_site_fract_x
_atom_site_fract_y
_atom_site_fract_z
Y1 0.250 0.750 0.500
Si1 0.500 0.500 0.000
Si2 0.000 0.000 0.000
Cr1 0.750 0.250 0.500
# crystal system = tetragonal
# ΔE_f (raw) = -0.028 eV/atom
# symmetry = No. 139
# calculated volume = 17.7 A^3/atom
# mass density = 4.61 Mg/m³

# Y2CrSi2 PBE relaxed
data_Y2CrSi2
_chemical_formula_sum 'Y4 Cr2 Si4'
_symmetry_space_group_name_H-M 'P 1'
_symmetry_Int_Tables_number 1
_cell_length_a 6.808
_cell_length_b 6.808
_cell_length_c 4.380
_cell_angle_alpha 90.00
_cell_angle_beta 90.00
_cell_angle_gamma 90.00
loop_
_symmetry_equiv_pos_as_xyz
'x,y,z'
loop_
_atom_site_label
_atom_site_fract_x
_atom_site_fract_y
_atom_site_fract_z
Cr1 0.000 0.000 0.000
Cr2 0.500 0.500 0.000
Y1 0.324 0.176 0.500
Y2 0.824 0.324 0.500
Y3 0.676 0.824 0.500
Y4 0.176 0.676 0.500
Si1 0.372 0.872 0.000
Si2 0.628 0.128 0.000
Si3 0.872 0.628 0.000
Si4 0.128 0.372 0.000
# crystal system = tetragonal
# ΔE_f (raw) = -0.558 eV/atom
# symmetry = No. 127
# calculated volume = 20.3 A^3/atom
# mass density = 4.68 Mg/m³

# YCrSi PBE relaxed
data_YCrSi
_chemical_formula_sum 'Y1 Cr1 Si1'
_symmetry_space_group_name_H-M 'P 1'
_symmetry_Int_Tables_number 1
_cell_length_a 4.272
_cell_length_b 4.272
_cell_length_c 3.819
_cell_angle_alpha 90.00
_cell_angle_beta 90.00
_cell_angle_gamma 120.00
loop_
_symmetry_equiv_pos_as_xyz
'x,y,z'
loop_
_atom_site_label
_atom_site_fract_x
_atom_site_fract_y
_atom_site_fract_z
Y1 0.333 0.667 0.667
Cr1 0.000 0.000 0.167
Si1 0.667 0.333 0.167
# crystal system = hexagonal
# ΔE_f (raw) = -0.243 eV/atom
# symmetry = No. 187
# calculated volume = 20.1 A^3/atom
# mass density = 4.65 Mg/m³

# YCrSi2 PBE relaxed
data_YCrSi2
_chemical_formula_sum 'Y1 Cr1 Si2'
_symmetry_space_group_name_H-M 'P 1'
_symmetry_Int_Tables_number 1
_cell_length_a 4.801
_cell_length_b 4.801
_cell_length_c 3.277
_cell_angle_alpha 90.01
_cell_angle_beta 90.01
_cell_angle_gamma 104.65
loop_
_symmetry_equiv_pos_as_xyz
'x,y,z'
loop_
_atom_site_label
_atom_site_fract_x
_atom_site_fract_y
_atom_site_fract_z
Y1 0.500 0.000 0.500
Cr1 0.000 0.500 0.500
Si1 0.500 0.500 0.000
Si2 0.000 0.000 0.000
# crystal system = orthorhombic
# ΔE_f (raw) = 0.019 eV/atom
# symmetry = No. 65
# calculated volume = 18.3 A^3/atom
# mass density = 4.48 Mg/m³

# YCrSi3 PBE relaxed
data_YCrSi3
_chemical_formula_sum 'Y1 Cr1 Si3'
_symmetry_space_group_name_H-M 'P 1'
_symmetry_Int_Tables_number 1
_cell_length_a 4.479
_cell_length_b 4.479
_cell_length_c 4.479
_cell_angle_alpha 90.00
_cell_angle_beta 90.00
_cell_angle_gamma 90.00
loop_
_symmetry_equiv_pos_as_xyz
'x,y,z'
loop_
_atom_site_label
_atom_site_fract_x
_atom_site_fract_y
_atom_site_fract_z
Si1 0.000 0.500 0.000
Si2 0.000 0.000 0.500
Si3 0.500 0.000 0.000
Y1 0.500 0.500 0.500
Cr1 0.000 0.000 0.000
# crystal system = cubic
# ΔE_f (raw) = -0.022 eV/atom
# symmetry = No. 221
# calculated volume = 18.0 A^3/atom
# mass density = 4.16 Mg/m³

# ZnCr2Si2 PBE relaxed
data_ZnCr2Si2
_chemical_formula_sum 'Zn2 Cr4 Si4'
_symmetry_space_group_name_H-M 'P 1'
_symmetry_Int_Tables_number 1
_cell_length_a 6.478
_cell_length_b 6.478
_cell_length_c 3.106
_cell_angle_alpha 90.00
_cell_angle_beta 90.00
_cell_angle_gamma 90.00
loop_
_symmetry_equiv_pos_as_xyz
'x,y,z'
loop_
_atom_site_label
_atom_site_fract_x
_atom_site_fract_y
_atom_site_fract_z
Cr1 0.150 0.350 0.000
Cr2 0.850 0.650 0.000
Cr3 0.650 0.150 0.000
Cr4 0.350 0.850 0.000
Si1 0.643 0.857 0.500
Si2 0.857 0.357 0.500
Si3 0.357 0.143 0.500
Si4 0.143 0.643 0.500
Zn1 0.000 0.000 0.000
Zn2 0.500 0.500 0.000
# crystal system = tetragonal
# ΔE_f (raw) = -0.018 eV/atom
# symmetry = No. 127
# calculated volume = 13.0 A^3/atom
# mass density = 5.75 Mg/m³
# excess energy over the best structure of this formula in the dataset = 59 meV per atom

# ZnCrSi PBE relaxed
data_ZnCrSi
_chemical_formula_sum 'Zn1 Cr1 Si1'
_symmetry_space_group_name_H-M 'P 1'
_symmetry_Int_Tables_number 1
_cell_length_a 2.719
_cell_length_b 2.719
_cell_length_c 6.322
_cell_angle_alpha 90.00
_cell_angle_beta 90.00
_cell_angle_gamma 120.00
loop_
_symmetry_equiv_pos_as_xyz
'x,y,z'
loop_
_atom_site_label
_atom_site_fract_x
_atom_site_fract_y
_atom_site_fract_z
Zn1 0.333 0.667 0.673
Cr1 0.000 0.000 0.013
Si1 0.667 0.333 0.314
# crystal system = trigonal
# ΔE_f (raw) = 0.209 eV/atom
# symmetry = No. 156
# calculated volume = 13.5 A^3/atom
# mass density = 5.97 Mg/m³
# excess energy over the best structure of this formula in the dataset = 117 meV per atom

# ZnCrSi4 PBE relaxed
data_ZnCrSi4
_chemical_formula_sum 'Zn1 Cr1 Si4'
_symmetry_space_group_name_H-M 'P 1'
_symmetry_Int_Tables_number 1
_cell_length_a 5.014
_cell_length_b 5.014
_cell_length_c 5.014
_cell_angle_alpha 60.00
_cell_angle_beta 60.00
_cell_angle_gamma 60.00
loop_
_symmetry_equiv_pos_as_xyz
'x,y,z'
loop_
_atom_site_label
_atom_site_fract_x
_atom_site_fract_y
_atom_site_fract_z
Si1 0.375 0.375 0.875
Si2 0.375 0.375 0.375
Si3 0.375 0.875 0.375
Si4 0.875 0.375 0.375
Cr1 0.000 0.000 0.000
Zn1 0.750 0.750 0.750
# crystal system = cubic
# ΔE_f (raw) = 0.436 eV/atom
# symmetry = No. 216
# calculated volume = 14.9 A^3/atom
# mass density = 4.28 Mg/m³

# ZnCr2Si2 PBE relaxed
data_ZnCr2Si2
_chemical_formula_sum 'Zn2 Cr4 Si4'
_symmetry_space_group_name_H-M 'P 1'
_symmetry_Int_Tables_number 1
_cell_length_a 6.354
_cell_length_b 6.354
_cell_length_c 3.104
_cell_angle_alpha 90.00
_cell_angle_beta 90.00
_cell_angle_gamma 90.00
loop_
_symmetry_equiv_pos_as_xyz
'x,y,z'
loop_
_atom_site_label
_atom_site_fract_x
_atom_site_fract_y
_atom_site_fract_z
Si1 0.132 0.368 0.000
Si2 0.368 0.868 0.000
Si3 0.632 0.132 0.000
Si4 0.868 0.632 0.000
Cr1 0.664 0.836 0.500
Cr2 0.164 0.664 0.500
Cr3 0.336 0.164 0.500
Cr4 0.836 0.336 0.500
Zn1 0.500 0.500 0.000
Zn2 0.000 0.000 0.000
# crystal system = tetragonal
# ΔE_f (raw) = -0.077 eV/atom
# symmetry = No. 127
# calculated volume = 12.5 A^3/atom
# mass density = 5.98 Mg/m³
# excess energy over the best structure of this formula in the dataset = 0 meV per atom

# ZnCrSi PBE relaxed
data_ZnCrSi
_chemical_formula_sum 'Zn1 Cr1 Si1'
_symmetry_space_group_name_H-M 'P 1'
_symmetry_Int_Tables_number 1
_cell_length_a 4.794
_cell_length_b 4.794
_cell_length_c 4.794
_cell_angle_alpha 145.14
_cell_angle_beta 139.91
_cell_angle_gamma 54.15
loop_
_symmetry_equiv_pos_as_xyz
'x,y,z'
loop_
_atom_site_label
_atom_site_fract_x
_atom_site_fract_y
_atom_site_fract_z
Cr1 0.987 0.987 0.000
Zn1 0.667 0.667 0.000
Si1 0.345 0.345 0.000
# crystal system = orthorhombic
# ΔE_f (raw) = 0.148 eV/atom
# symmetry = No. 44
# calculated volume = 13.4 A^3/atom
# mass density = 6.00 Mg/m³
# excess energy over the best structure of this formula in the dataset = 56 meV per atom

| no. | magnetization (μB/f.u.) |
| --- | --- |
| 1 | 1.96 |
| 2 | 4.27 |
| 3 | 4.99 |
| 4 | 0.00 |
| 5 | 2.90 |
| 6 | 3.44 |
| 7 | 3.08 |
| 8 | 3.65 |
| 9 | 0.00 |
| 10 | 0.00 |
| 11 | 1.44 |
| 12 | 3.45 |
| 13 | 0.00 |
| 14 | 1.98 |